# GGA-PBEsol Cd2NiIr, optimized geometry
# DFT total energy (eV per cell): -17.57
# ΔE_f (eV per atom): 0.202
# Symmetry: Pm
# DOS at the Fermi energy (states/eV per cell): 4.36
data_Cd2NiIr
_chemical_formula_sum 'Cd2 Ni1 Ir1'
_cell_length_a 2.8535
_cell_length_b 4.2868
_cell_length_c 5.3814
_cell_angle_alpha 90.00
_cell_angle_beta 105.01
_cell_angle_gamma 90.00
_space_group_name_H-M_alt 'P 1'
_space_group_IT_number 1
loop_
_space_group_symop_operation_xyz
'x,y,z'
loop_
_atom_site_label
_atom_site_type_symbol
_atom_site_fract_x
_atom_site_fract_y
_atom_site_fract_z
Cd1 Cd 0.0000 0.0000 0.0000
Cd2 Cd 0.3353 0.5000 0.6800
Ni1 Ni 0.7255 0.0000 0.4598
Ir1 Ir 0.6088 0.5000 0.2201


# GGA-PBEsol CdNi2IrOs, optimized geometry
# DFT total energy (eV per cell): -28.14
# ΔE_f (eV per atom): 1.483
# Symmetry: P4/mmm
# DOS at the Fermi energy (states/eV per cell): 7.72
data_CdNi2IrOs
_chemical_formula_sum 'Cd1 Ni2 Ir1 Os1'
_cell_length_a 4.4962
_cell_length_b 4.4962
_cell_length_c 4.6595
_cell_angle_alpha 90.00
_cell_angle_beta 90.00
_cell_angle_gamma 90.00
_space_group_name_H-M_alt 'P 1'
_space_group_IT_number 1
loop_
_space_group_symop_operation_xyz
'x,y,z'
loop_
_atom_site_label
_atom_site_type_symbol
_atom_site_fract_x
_atom_site_fract_y
_atom_site_fract_z
Cd1 Cd 0.0000 0.0000 0.0000
Ni1 Ni 0.0000 0.5000 0.5000
Ni2 Ni 0.5000 0.0000 0.5000
Ir1 Ir 0.5000 0.5000 0.5000
Os1 Os 0.5000 0.5000 0.0000


# GGA-PBEsol Cd3IrO, optimized geometry
# DFT total energy (eV per cell): -14.09
# Symmetry: Pm-3m
# Formation energy without anion corrections (eV/f.u.): 4.57
# DOS at the Fermi energy (states/eV per cell): 6.84
data_Cd3IrO
_chemical_formula_sum 'Cd3 Ir1 O1'
_cell_length_a 5.0986
_cell_length_b 5.0986
_cell_length_c 5.0986
_cell_angle_alpha 90.00
_cell_angle_beta 90.00
_cell_angle_gamma 90.00
_space_group_name_H-M_alt 'P 1'
_space_group_IT_number 1
loop_
_space_group_symop_operation_xyz
'x,y,z'
loop_
_atom_site_label
_atom_site_type_symbol
_atom_site_fract_x
_atom_site_fract_y
_atom_site_fract_z
Cd1 Cd 0.0000 0.0000 0.5000
Cd2 Cd 0.0000 0.5000 0.0000
Cd3 Cd 0.5000 0.0000 0.0000
Ir1 Ir 0.0000 0.0000 0.0000
O1 O 0.5000 0.5000 0.5000